This record from Alexandria describes crystalline AgPIF2 at its relaxed geometry. The functional is PBE.

The value obtained for the total energy is -2.79 eV/atom. The value obtained for the density of states at the Fermi level is 0.444 states/eV/atom. The magnetic moment is 0.00 μB/atom. The energy relative to the elements, uncorrected comes out at -0.08 eV/atom.

The structure belongs to space group P4/mmm (No. 123); the cell edges are 4.4457, 4.4457 and 5.3913 Å and the angles 90.00°, 90.00° and 90.00°. The inequivalent atoms are Ag at (0.0000, 0.0000, 0.0000), P at (0.5000, 0.5000, 0.0000), I at (0.5000, 0.5000, 0.5000) and F at (0.0000, 0.5000, 0.5000).